(1)
An optimized crystal structure of TaCrSi2. Source: Alexandria via LeMat-Bulk, functional PBE-GGA.

Uncorrected formation energy = 0.1689 eV per atom
Theoretical density = 8.2 Mg/m³
Density of states at the Fermi level = 0.66 states/eV/atom

a = 2.691 Å, b = 2.691 Å, c = 8.285 Å
α = 90.00°, β = 90.00°, γ = 103.38°
Fractional positions:
Ta 0.000 0.000 0.000
Cr 0.500 0.500 0.739
Si 0.000 0.000 0.526
Si 0.500 0.500 0.250

***

(2)
An optimized crystal structure of CaAlTl3. Source: Alexandria via LeMat-Bulk, functional PBE-GGA.

E = -9.584 eV/f.u.
Theoretical density = 5.5 Mg/m³
Density of states at the Fermi level = 0.66 states/eV/atom

a = 5.917 Å, b = 5.917 Å, c = 5.917 Å
α = 90.00°, β = 90.00°, γ = 90.00°
Fractional positions:
Ca 0.000 0.000 0.000
Al 0.500 0.500 0.500
Tl 0.000 0.000 0.500
Tl 0.000 0.500 0.000
Tl 0.500 0.000 0.000

***

(3)
An optimized crystal structure of La7SmDy4. Source: Alexandria via LeMat-Bulk, functional PBE-GGA.

E = -55.223 eV/f.u.
Theoretical density = 6.9 Mg/m³
Density of states at the Fermi level = 1.74 states/eV/atom

a = 8.759 Å, b = 8.759 Å, c = 9.693 Å
α = 116.50°, β = 116.50°, γ = 40.81°
Fractional positions:
La 0.000 0.000 0.000
La 0.277 0.277 0.749
La 0.288 0.288 0.108
La 0.411 0.411 0.543
La 0.589 0.589 0.457
La 0.712 0.712 0.892
La 0.723 0.723 0.251
Sm 0.500 0.500 0.000
Dy 0.065 0.065 0.702
Dy 0.167 0.167 0.364
Dy 0.833 0.833 0.636
Dy 0.935 0.935 0.298

***

(4)
An optimized crystal structure of KHgPt2. Source: Alexandria via LeMat-Bulk, functional PBE-GGA.

E = -12.129 eV/f.u.
Theoretical density = 12.8 Mg/m³
Density of states at the Fermi level = 0.67 states/eV/atom

a = 4.877 Å, b = 4.877 Å, c = 4.877 Å
α = 60.00°, β = 60.00°, γ = 60.00°
Fractional positions:
K 0.000 0.000 0.000
Hg 0.750 0.750 0.750
Pt 0.250 0.250 0.250
Pt 0.500 0.500 0.500

***

Question: density of states at the Fermi level of number 3 (La7SmDy4)?
Answer: 1.74 states/eV/atom

***

Question: The highest density of states at the Fermi level belongs to which entry?
Answer: La7SmDy4

***

Copy entry 4 word for word.
An optimized crystal structure of KHgPt2. Source: Alexandria via LeMat-Bulk, functional PBE-GGA.

E = -12.129 eV/f.u.
Theoretical density = 12.8 Mg/m³
Density of states at the Fermi level = 0.67 states/eV/atom

a = 4.877 Å, b = 4.877 Å, c = 4.877 Å
α = 60.00°, β = 60.00°, γ = 60.00°
Fractional positions:
K 0.000 0.000 0.000
Hg 0.750 0.750 0.750
Pt 0.250 0.250 0.250
Pt 0.500 0.500 0.500